Entry 1:
# Sc2ZnRe PBEsol relaxed
data_Sc2ZnRe
_cell_length_a 3.3144
_cell_length_b 3.3144
_cell_length_c 6.7146
_cell_angle_alpha 90.00
_cell_angle_beta 90.00
_cell_angle_gamma 90.00
_space_group_name_H-M_alt 'P 1'
_space_group_IT_number 1
loop_
_space_group_symop_operation_xyz
'x,y,z'
loop_
_atom_site_label
_atom_site_fract_x
_atom_site_fract_y
_atom_site_fract_z
Sc1 0.0000 0.0000 0.0000
Sc2 0.5000 0.5000 0.3707
Zn1 0.0000 0.0000 0.5889
Re1 0.5000 0.5000 0.7645
# Energy of formation from the pure elements (eV/atom): 0.043
# Total energy (eV per atom): -6.988


Entry 2:
# ScZnRe2 PBEsol relaxed
data_ScZnRe2
_cell_length_a 3.7602
_cell_length_b 3.7602
_cell_length_c 8.7745
_cell_angle_alpha 90.00
_cell_angle_beta 90.00
_cell_angle_gamma 90.00
_space_group_name_H-M_alt 'P 1'
_space_group_IT_number 1
loop_
_space_group_symop_operation_xyz
'x,y,z'
loop_
_atom_site_label
_atom_site_fract_x
_atom_site_fract_y
_atom_site_fract_z
Sc1 0.0000 0.0000 0.0000
Sc2 0.5000 0.5000 0.5000
Zn1 0.0000 0.0000 0.5000
Zn2 0.5000 0.5000 0.0000
Re1 0.0000 0.5000 0.2500
Re2 0.0000 0.5000 0.7500
Re3 0.5000 0.0000 0.2500
Re4 0.5000 0.0000 0.7500
# Energy of formation from the pure elements (eV/atom): 0.172
# Total energy (eV per atom): -8.541


Entry 3:
# ScZn2Re2 PBEsol relaxed
data_ScZn2Re2
_cell_length_a 3.6638
_cell_length_b 3.6638
_cell_length_c 11.9398
_cell_angle_alpha 90.00
_cell_angle_beta 90.00
_cell_angle_gamma 90.00
_space_group_name_H-M_alt 'P 1'
_space_group_IT_number 1
loop_
_space_group_symop_operation_xyz
'x,y,z'
loop_
_atom_site_label
_atom_site_fract_x
_atom_site_fract_y
_atom_site_fract_z
Sc1 0.0000 0.0000 0.0000
Sc2 0.5000 0.5000 0.5000
Zn1 0.0000 0.0000 0.4037
Zn2 0.0000 0.0000 0.5963
Zn3 0.5000 0.5000 0.0963
Zn4 0.5000 0.5000 0.9037
Re1 0.0000 0.5000 0.2500
Re2 0.0000 0.5000 0.7500
Re3 0.5000 0.0000 0.2500
Re4 0.5000 0.0000 0.7500
# Energy of formation from the pure elements (eV/atom): 0.069
# Total energy (eV per atom): -7.218


Entry 4:
# ZrScRe PBEsol relaxed
data_ZrScRe
_cell_length_a 3.2979
_cell_length_b 3.2979
_cell_length_c 10.7835
_cell_angle_alpha 90.00
_cell_angle_beta 90.00
_cell_angle_gamma 90.00
_space_group_name_H-M_alt 'P 1'
_space_group_IT_number 1
loop_
_space_group_symop_operation_xyz
'x,y,z'
loop_
_atom_site_label
_atom_site_fract_x
_atom_site_fract_y
_atom_site_fract_z
Zr1 0.0000 0.0000 0.0000
Zr2 0.5000 0.5000 0.5000
Sc1 0.0000 0.0000 0.2804
Sc2 0.5000 0.5000 0.7804
Re1 0.0000 0.0000 0.6332
Re2 0.5000 0.5000 0.1332
# Energy of formation from the pure elements (eV/atom): -0.096
# Total energy (eV per atom): -9.772


Entry 5:
# ZrSc2Re PBEsol relaxed
data_ZrSc2Re
_cell_length_a 3.3064
_cell_length_b 3.3064
_cell_length_c 7.4058
_cell_angle_alpha 90.00
_cell_angle_beta 90.00
_cell_angle_gamma 90.00
_space_group_name_H-M_alt 'P 1'
_space_group_IT_number 1
loop_
_space_group_symop_operation_xyz
'x,y,z'
loop_
_atom_site_label
_atom_site_fract_x
_atom_site_fract_y
_atom_site_fract_z
Zr1 0.0000 0.0000 0.0000
Sc1 0.0000 0.0000 0.4100
Sc2 0.5000 0.5000 0.7271
Re1 0.5000 0.5000 0.1990
# Energy of formation from the pure elements (eV/atom): -0.048
# Total energy (eV per atom): -8.956
# E above lowest polymorph (eV/atom): 0.034


Entry 6:
# ZrSc2Re PBEsol relaxed
data_ZrSc2Re
_cell_length_a 3.1869
_cell_length_b 3.1869
_cell_length_c 7.7829
_cell_angle_alpha 90.00
_cell_angle_beta 90.00
_cell_angle_gamma 90.00
_space_group_name_H-M_alt 'P 1'
_space_group_IT_number 1
loop_
_space_group_symop_operation_xyz
'x,y,z'
loop_
_atom_site_label
_atom_site_fract_x
_atom_site_fract_y
_atom_site_fract_z
Zr1 0.0000 0.0000 0.0000
Sc1 0.5000 0.5000 0.2976
Sc2 0.5000 0.5000 0.7024
Re1 0.0000 0.0000 0.5000
# Energy of formation from the pure elements (eV/atom): 0.071
# Total energy (eV per atom): -8.837
# E above lowest polymorph (eV/atom): 0.153


Entry 7:
# ZrSc2Re PBEsol relaxed
data_ZrSc2Re
_cell_length_a 2.8390
_cell_length_b 4.6364
_cell_length_c 5.7998
_cell_angle_alpha 90.00
_cell_angle_beta 90.00
_cell_angle_gamma 90.00
_space_group_name_H-M_alt 'P 1'
_space_group_IT_number 1
loop_
_space_group_symop_operation_xyz
'x,y,z'
loop_
_atom_site_label
_atom_site_fract_x
_atom_site_fract_y
_atom_site_fract_z
Zr1 0.0000 0.0000 0.0000
Sc1 0.0000 0.0000 0.4648
Sc2 0.5000 0.5000 0.7301
Re1 0.5000 0.5000 0.2309
# Energy of formation from the pure elements (eV/atom): 0.150
# Total energy (eV per atom): -8.758
# E above lowest polymorph (eV/atom): 0.232


Entry 8:
# ZrSc2Re PBEsol relaxed
data_ZrSc2Re
_cell_length_a 5.7199
_cell_length_b 9.5634
_cell_length_c 2.8856
_cell_angle_alpha 90.00
_cell_angle_beta 107.82
_cell_angle_gamma 90.00
_space_group_name_H-M_alt 'P 1'
_space_group_IT_number 1
loop_
_space_group_symop_operation_xyz
'x,y,z'
loop_
_atom_site_label
_atom_site_fract_x
_atom_site_fract_y
_atom_site_fract_z
Zr1 0.0000 0.0000 0.0000
Zr2 0.5000 0.5000 0.0000
Sc1 0.2500 0.2500 0.5000
Sc2 0.2500 0.7500 0.5000
Sc3 0.7500 0.2500 0.5000
Sc4 0.7500 0.7500 0.5000
Re1 0.0000 0.5000 0.0000
Re2 0.5000 0.0000 0.0000
# Energy of formation from the pure elements (eV/atom): 0.113
# Total energy (eV per atom): -8.795
# E above lowest polymorph (eV/atom): 0.195


Entry 9:
# ZrSc2Re PBEsol relaxed
data_ZrSc2Re
_cell_length_a 3.1642
_cell_length_b 3.1642
_cell_length_c 28.3549
_cell_angle_alpha 90.00
_cell_angle_beta 90.00
_cell_angle_gamma 120.00
_space_group_name_H-M_alt 'P 1'
_space_group_IT_number 1
loop_
_space_group_symop_operation_xyz
'x,y,z'
loop_
_atom_site_label
_atom_site_fract_x
_atom_site_fract_y
_atom_site_fract_z
Zr1 0.0000 0.0000 0.0000
Zr2 0.3333 0.6667 0.6667
Zr3 0.6667 0.3333 0.3333
Sc1 0.0000 0.0000 0.5252
Sc2 0.0000 0.0000 0.7582
Sc3 0.3333 0.6667 0.1919
Sc4 0.3333 0.6667 0.4249
Sc5 0.6667 0.3333 0.0915
Sc6 0.6667 0.3333 0.8585
Re1 0.0000 0.0000 0.2625
Re2 0.3333 0.6667 0.9291
Re3 0.6667 0.3333 0.5958
# Energy of formation from the pure elements (eV/atom): 0.127
# Total energy (eV per atom): -8.781
# E above lowest polymorph (eV/atom): 0.209


Entry 10:
# ZrSc2Re PBEsol relaxed
data_ZrSc2Re
_cell_length_a 3.3546
_cell_length_b 4.6698
_cell_length_c 10.0194
_cell_angle_alpha 90.00
_cell_angle_beta 90.00
_cell_angle_gamma 90.00
_space_group_name_H-M_alt 'P 1'
_space_group_IT_number 1
loop_
_space_group_symop_operation_xyz
'x,y,z'
loop_
_atom_site_label
_atom_site_fract_x
_atom_site_fract_y
_atom_site_fract_z
Zr1 0.0000 0.0000 0.0000
Zr2 0.5000 0.5000 0.5000
Sc1 0.0000 0.5000 0.2135
Sc2 0.0000 0.5000 0.7865
Sc3 0.5000 0.0000 0.2865
Sc4 0.5000 0.0000 0.7135
Re1 0.0000 0.0000 0.5000
Re2 0.5000 0.5000 0.0000
# Energy of formation from the pure elements (eV/atom): -0.082
# Total energy (eV per atom): -8.990
# E above lowest polymorph (eV/atom): 0.000


Entry 11:
# ZrSc2Re PBEsol relaxed
data_ZrSc2Re
_cell_length_a 3.3802
_cell_length_b 4.8766
_cell_length_c 9.6633
_cell_angle_alpha 90.00
_cell_angle_beta 90.00
_cell_angle_gamma 90.00
_space_group_name_H-M_alt 'P 1'
_space_group_IT_number 1
loop_
_space_group_symop_operation_xyz
'x,y,z'
loop_
_atom_site_label
_atom_site_fract_x
_atom_site_fract_y
_atom_site_fract_z
Zr1 0.0000 0.0000 0.0000
Zr2 0.5000 0.5000 0.5000
Sc1 0.0000 0.0000 0.4249
Sc2 0.0000 0.5000 0.2131
Sc3 0.5000 0.0000 0.7131
Sc4 0.5000 0.5000 0.9249
Re1 0.0000 0.5000 0.7060
Re2 0.5000 0.0000 0.2060
# Energy of formation from the pure elements (eV/atom): -0.062
# Total energy (eV per atom): -8.970
# E above lowest polymorph (eV/atom): 0.020


Entry 12:
# ZrScRe3 PBEsol relaxed
data_ZrScRe3
_cell_length_a 4.5301
_cell_length_b 4.5301
_cell_length_c 4.5301
_cell_angle_alpha 90.00
_cell_angle_beta 90.00
_cell_angle_gamma 90.00
_space_group_name_H-M_alt 'P 1'
_space_group_IT_number 1
loop_
_space_group_symop_operation_xyz
'x,y,z'
loop_
_atom_site_label
_atom_site_fract_x
_atom_site_fract_y
_atom_site_fract_z
Zr1 0.0000 0.0000 0.0000
Sc1 0.5000 0.5000 0.5000
Re1 0.0000 0.5000 0.5000
Re2 0.5000 0.0000 0.5000
Re3 0.5000 0.5000 0.0000
# Energy of formation from the pure elements (eV/atom): 1.842
# Total energy (eV per atom): -9.296


Entry 13:
# ReSe PBEsol relaxed
data_ReSe
_cell_length_a 2.9352
_cell_length_b 13.1893
_cell_length_c 3.9042
_cell_angle_alpha 90.00
_cell_angle_beta 90.00
_cell_angle_gamma 90.00
_space_group_name_H-M_alt 'P 1'
_space_group_IT_number 1
loop_
_space_group_symop_operation_xyz
'x,y,z'
loop_
_atom_site_label
_atom_site_fract_x
_atom_site_fract_y
_atom_site_fract_z
Re1 0.0000 0.2063 0.2500
Re2 0.0000 0.7937 0.7500
Re3 0.5000 0.2937 0.7500
Re4 0.5000 0.7063 0.2500
Se1 0.0000 0.3886 0.2500
Se2 0.0000 0.6114 0.7500
Se3 0.5000 0.1114 0.7500
Se4 0.5000 0.8886 0.2500
# ΔE_f (raw) (eV per atom): 0.3151
# Total energy (eV per atom): -8.276
# E above lowest polymorph (eV/atom): 0.000


Entry 14:
# ReSe PBEsol relaxed
data_ReSe
_cell_length_a 6.3368
_cell_length_b 6.3368
_cell_length_c 6.3368
_cell_angle_alpha 90.00
_cell_angle_beta 90.00
_cell_angle_gamma 90.00
_space_group_name_H-M_alt 'P 1'
_space_group_IT_number 1
loop_
_space_group_symop_operation_xyz
'x,y,z'
loop_
_atom_site_label
_atom_site_fract_x
_atom_site_fract_y
_atom_site_fract_z
Re1 0.1250 0.1250 0.1250
Re2 0.1250 0.6250 0.6250
Re3 0.3750 0.3750 0.8750
Re4 0.3750 0.8750 0.3750
Re5 0.6250 0.1250 0.6250
Re6 0.6250 0.6250 0.1250
Re7 0.8750 0.3750 0.3750
Re8 0.8750 0.8750 0.8750
Se1 0.1250 0.1250 0.6250
Se2 0.1250 0.6250 0.1250
Se3 0.3750 0.3750 0.3750
Se4 0.3750 0.8750 0.8750
Se5 0.6250 0.1250 0.1250
Se6 0.6250 0.6250 0.6250
Se7 0.8750 0.3750 0.8750
Se8 0.8750 0.8750 0.3750
# ΔE_f (raw) (eV per atom): 1.0038
# Total energy (eV per atom): -7.587
# E above lowest polymorph (eV/atom): 0.689


Entry 15:
# ReSe PBEsol relaxed
data_ReSe
_cell_length_a 3.9555
_cell_length_b 3.9555
_cell_length_c 5.0662
_cell_angle_alpha 90.00
_cell_angle_beta 90.00
_cell_angle_gamma 120.00
_space_group_name_H-M_alt 'P 1'
_space_group_IT_number 1
loop_
_space_group_symop_operation_xyz
'x,y,z'
loop_
_atom_site_label
_atom_site_fract_x
_atom_site_fract_y
_atom_site_fract_z
Re1 0.0000 0.0000 0.0000
Re2 0.0000 0.0000 0.5000
Se1 0.3333 0.6667 0.2500
Se2 0.6667 0.3333 0.7500
# ΔE_f (raw) (eV per atom): 0.5735
# Total energy (eV per atom): -8.018
# E above lowest polymorph (eV/atom): 0.258